[1]
Below is a relaxed structure of RbAcPa2O7, with properties calculated at the GGA-PBE level.

Crystal system = tetragonal
Total energy = -94.650 eV/f.u.
Calculated density = 6.7 g/cm3
Space group = P4/mmm

a = 4.3448 Å, b = 4.3448 Å, c = 11.6895 Å
α = 90.00°, β = 90.00°, γ = 90.00°
Last column: nearest neighbours and their distance in Å.
Fractional coordinates of all 11 atoms:
Rb: 0.0000 0.0000 0.0000  8 O 3.47
Ac: 0.0000 0.0000 0.5000  12 O 2.77-3.07
Pa: 0.5000 0.5000 0.3060  1 O 1.95
Pa: 0.5000 0.5000 0.6940  1 O 1.95
O: 0.0000 0.5000 0.3530  2 Pa 2.24
O: 0.0000 0.5000 0.6470  2 Pa 2.24
O: 0.5000 0.0000 0.3530  2 Pa 2.24
O: 0.5000 0.0000 0.6470  2 Pa 2.24
O: 0.5000 0.5000 0.1389  1 Pa 1.95
O: 0.5000 0.5000 0.5000  2 Pa 2.27
O: 0.5000 0.5000 0.8611  1 Pa 1.95

***

[2]
Below is a relaxed structure of CeGe3Rh2, with properties calculated at the GGA-PBE level.

Crystal system = monoclinic
Total energy = -38.471 eV/f.u.
Calculated density = 8.6 g/cm3
Space group = C2/m

a = 8.4406 Å, b = 8.4406 Å, c = 9.8269 Å
α = 102.85°, β = 102.85°, γ = 28.52°
Last column: nearest neighbours and their distance in Å.
Fractional coordinates of all 18 atoms:
Ce: 0.0000 0.0000 0.0000  6 Rh 3.08-3.25, 10 Ge 3.31-3.44
Ce: 0.1507 0.1507 0.6954  7 Ge 3.05-3.33, 4 Rh 3.24-3.39
Ce: 0.8493 0.8493 0.3046  7 Ge 3.05-3.33, 4 Rh 3.24-3.39
Ge: 0.0503 0.0503 0.3593  4 Rh 2.49-2.63, 2 Ge 2.73
Ge: 0.2241 0.2241 0.3646  4 Rh 2.50-2.75
Ge: 0.3553 0.3553 0.0796  4 Rh 2.45-2.64, 1 Ge 2.55
Ge: 0.3579 0.3579 0.8208  4 Rh 2.53-2.60, 1 Ge 2.55
Ge: 0.5000 0.5000 0.5000  4 Rh 2.60-2.65, 4 Ge 2.73
Ge: 0.6421 0.6421 0.1792  4 Rh 2.53-2.60, 1 Ge 2.55
Ge: 0.6447 0.6447 0.9204  4 Rh 2.45-2.64, 1 Ge 2.55
Ge: 0.7759 0.7759 0.6354  4 Rh 2.50-2.75
Ge: 0.9497 0.9497 0.6407  4 Rh 2.49-2.63, 2 Ge 2.73
Rh: 0.2040 0.2040 0.0787  6 Ge 2.47-2.75
Rh: 0.3530 0.3530 0.5584  7 Ge 2.50-2.63
Rh: 0.4970 0.4970 0.2296  5 Ge 2.45-2.65
Rh: 0.5030 0.5030 0.7704  5 Ge 2.45-2.65
Rh: 0.6470 0.6470 0.4416  7 Ge 2.50-2.63
Rh: 0.7960 0.7960 0.9213  6 Ge 2.47-2.75

***

[3]
Below is a relaxed structure of AlV3Bi, with properties calculated at the GGA-PBE level.

Crystal system = cubic
Total energy = -26.780 eV/f.u.
Calculated density = 4.9 g/cm3
Space group = Pm-3m

a = 5.0950 Å, b = 5.0950 Å, c = 5.0950 Å
α = 90.00°, β = 90.00°, γ = 90.00°
Last column: nearest neighbours and their distance in Å.
Fractional coordinates of all 5 atoms:
Al: 0.0000 0.0000 0.0000  12 V 3.60
V: 0.0000 0.5000 0.5000  2 Bi 2.55
V: 0.5000 0.0000 0.5000  2 Bi 2.55
V: 0.5000 0.5000 0.0000  2 Bi 2.55
Bi: 0.5000 0.5000 0.5000  6 V 2.55